Record 1
Material: TlZn2Tc
Method: DFT, PBE-GGA
State: relaxed

Cell: 2.9590 2.9590 8.6239 Å, 90.00 90.00 90.03°
With the nearest neighbours (Å) after each atom.
Element x y z (fractional)
1 Zn 0.0000 0.0000 0.0549  4 Tc 2.68-2.69, 4 Zn 2.96
2 Zn 0.0000 0.0000 0.4451  4 Tc 2.68-2.69, 4 Zn 2.96
3 Tl 0.5000 0.5000 0.7500  4 Tl 2.96
4 Tc 0.5000 0.5000 0.2500  8 Zn 2.68-2.69, 4 Tc 2.96

Values from the calculation:
Energy of formation from the pure elements (kJ per mole of atoms): 31
Density (g/cm3): 9.5
DOS(E_F) (states/eV per cell): 2.196



Record 2
Material: Tl2ZnTc
Method: DFT, PBE-GGA
State: relaxed

Cell: 3.1228 5.0923 5.0923 Å, 90.00 90.00 90.00°
With the nearest neighbours (Å) after each atom.
Element x y z (fractional)
1 Tl 0.0000 0.0000 0.0000  4 Tc 2.99, 4 Zn 2.99, 2 Tl 3.12
2 Tl 0.0000 0.5000 0.5000  4 Tc 2.99, 4 Zn 2.99, 2 Tl 3.12
3 Zn 0.5000 0.5000 0.0000  8 Tl 2.99, 2 Zn 3.12
4 Tc 0.5000 0.0000 0.5000  8 Tl 2.99, 2 Tc 3.12

Values from the calculation:
Energy of formation from the pure elements (kJ per mole of atoms): 60
Density (g/cm3): 11.7
DOS(E_F) (states/eV per cell): 2.534



Record 3
Material: Tl2ZnTc
Method: DFT, PBE-GGA
State: relaxed

Cell: 9.3764 9.3764 9.3764 Å, 19.72 19.72 19.72°
With the nearest neighbours (Å) after each atom.
Element x y z (fractional)
1 Tc 0.7500 0.7500 0.7500  6 Tl 2.90, 6 Tc 3.21
2 Tl 0.0023 0.0023 0.0023  3 Tc 2.90, 3 Zn 3.00, 6 Tl 3.21
3 Tl 0.4977 0.4977 0.4977  3 Tc 2.90, 3 Zn 3.00, 6 Tl 3.21
4 Zn 0.2500 0.2500 0.2500  6 Tl 3.00, 6 Zn 3.21

Values from the calculation:
Energy of formation from the pure elements (kJ per mole of atoms): 59
Density (g/cm3): 11.6
DOS(E_F) (states/eV per cell): 2.906



Record 4
Material: TlZn2Tc
Method: DFT, PBE-GGA
State: relaxed

Cell: 4.9159 4.9159 2.9894 Å, 89.99 89.99 109.91°
With the nearest neighbours (Å) after each atom.
Element x y z (fractional)
1 Tc 0.5000 0.0000 0.5000  2 Tl 2.82, 8 Zn 2.88, 2 Tc 2.99
2 Zn 0.0000 0.0000 0.0000  4 Zn 2.82-2.99, 4 Tl 2.88, 4 Tc 2.88
3 Zn 0.5000 0.5000 0.0000  4 Zn 2.82-2.99, 4 Tc 2.88, 4 Tl 2.88
4 Tl 0.0000 0.5000 0.5000  2 Tc 2.82, 8 Zn 2.88, 2 Tl 2.99

Values from the calculation:
Energy of formation from the pure elements (kJ per mole of atoms): 38
Density (g/cm3): 10.6
DOS(E_F) (states/eV per cell): 2.798



Record 5
Material: TlZn2Tc
Method: DFT, PBE-GGA
State: relaxed

Cell: 2.8840 2.8840 8.7320 Å, 90.00 90.00 90.00°
With the nearest neighbours (Å) after each atom.
Element x y z (fractional)
1 Zn 0.5000 0.5000 0.2594  4 Tc 2.71, 8 Zn 2.76-2.88
2 Zn 0.0000 0.0000 0.0466  8 Zn 2.76-2.88
3 Tc 0.0000 0.0000 0.4643  4 Zn 2.71, 4 Tc 2.88
4 Tl 0.5000 0.5000 0.7298  4 Tl 2.88, 4 Tc 3.09

Values from the calculation:
Energy of formation from the pure elements (kJ per mole of atoms): 45
Density (g/cm3): 9.9
DOS(E_F) (states/eV per cell): 3.327



Record 6
Material: TlZnTc3
Method: DFT, PBE-GGA
State: relaxed

Cell: 4.6054 4.6054 4.6054 Å, 90.00 90.00 90.00°
With the nearest neighbours (Å) after each atom.
Element x y z (fractional)
1 Tc 0.0000 0.5000 0.0000  2 Zn 2.30
2 Tc 0.5000 0.0000 0.0000  2 Zn 2.30
3 Tc 0.0000 0.0000 0.5000  2 Zn 2.30
4 Tl 0.5000 0.5000 0.5000  12 Tc 3.26
5 Zn 0.0000 0.0000 0.0000  6 Tc 2.30

Values from the calculation:
Energy of formation from the pure elements (kJ per mole of atoms): 152
Density (g/cm3): 9.6
DOS(E_F) (states/eV per cell): 5.770



Record 7
Material: TlZnTc2
Method: DFT, PBE-GGA
State: relaxed

Cell: 4.6902 4.6902 5.1171 Å, 83.04 83.04 37.05°
With the nearest neighbours (Å) after each atom.
Element x y z (fractional)
1 Tc 0.9982 0.9982 0.0183  3 Tc 2.58-2.69, 3 Zn 2.74-2.81
2 Tc 0.2554 0.2554 0.2026  3 Tc 2.58-2.69, 2 Zn 2.69, 1 Tl 2.87
3 Zn 0.7438 0.7438 0.7681  3 Tl 2.66-2.91, 5 Tc 2.69-2.81
4 Tl 0.5027 0.5027 0.5110  3 Zn 2.66-2.91, 3 Tc 2.87-2.93

Values from the calculation:
Energy of formation from the pure elements (kJ per mole of atoms): 48
Density (g/cm3): 11.5
DOS(E_F) (states/eV per cell): 3.628



Record 8
Material: TlZnTc2
Method: DFT, PBE-GGA
State: relaxed

Cell: 5.0878 5.0878 5.0878 Å, 134.24 134.24 66.72°
With the nearest neighbours (Å) after each atom.
Element x y z (fractional)
1 Tc 0.5000 0.5000 0.0000  4 Tc 2.80, 4 Tl 2.90, 4 Zn 2.90
2 Tc 0.0000 0.0000 0.0000  4 Tc 2.80, 4 Zn 2.90, 4 Tl 2.90
3 Zn 0.7500 0.2500 0.5000  4 Tl 2.80, 8 Tc 2.90
4 Tl 0.2500 0.7500 0.5000  4 Zn 2.80, 8 Tc 2.90

Values from the calculation:
Energy of formation from the pure elements (kJ per mole of atoms): 63
Density (g/cm3): 11.6
DOS(E_F) (states/eV per cell): 5.168